Record 1
# Co2Ag (PBE, relaxed)
data_Co2Ag
_chemical_formula_sum 'Co2 Ag1'
_space_group_name_H-M_alt 'P 1'
_space_group_IT_number 1
_space_group_name_Hall 'P 1'
_cell_length_a 2.661
_cell_length_b 2.661
_cell_length_c 6.553
_cell_angle_alpha 90.00
_cell_angle_beta 90.00
_cell_angle_gamma 120.00
loop_
_atom_site_label
_atom_site_fract_x
_atom_site_fract_y
_atom_site_fract_z
Co1 0.333 0.667 0.359
Co2 0.667 0.333 0.641
Ag1 0.000 0.000 0.000
# - Total energy: -5.39 eV/atom
# - M_tot: 3.3 μB/cell
# - Relative energy among the computed polymorphs: 8.5 kJ/mol of formula units
# - Space-group type: P-3m1
# - DFT formation energy: 0.30 eV/atom


Record 2
# LiTlSi (PBE, relaxed)
data_LiTlSi
_chemical_formula_sum 'Li2 Tl2 Si2'
_space_group_name_H-M_alt 'P 1'
_space_group_IT_number 1
_space_group_name_Hall 'P 1'
_cell_length_a 3.735
_cell_length_b 5.763
_cell_length_c 6.694
_cell_angle_alpha 107.09
_cell_angle_beta 103.43
_cell_angle_gamma 92.79
loop_
_atom_site_label
_atom_site_fract_x
_atom_site_fract_y
_atom_site_fract_z
Li1 0.000 0.000 0.000
Li2 0.389 0.426 0.796
Tl1 0.133 0.585 0.219
Tl2 0.685 0.133 0.380
Si1 0.365 0.925 0.689
Si2 0.812 0.656 0.614
# - Total energy: -3.23 eV/atom
# - M_tot: 0.0 μB/cell
# - Energy relative to the elements, uncorrected: 9 meV per atom
# - Space-group type: P1


Record 3
# KUAg2F8 (PBE, relaxed)
data_KUAg2F8
_chemical_formula_sum 'K1 U1 Ag2 F8'
_space_group_name_H-M_alt 'P 1'
_space_group_IT_number 1
_space_group_name_Hall 'P 1'
_cell_length_a 5.539
_cell_length_b 5.539
_cell_length_c 8.903
_cell_angle_alpha 90.00
_cell_angle_beta 90.00
_cell_angle_gamma 120.00
loop_
_atom_site_label
_atom_site_fract_x
_atom_site_fract_y
_atom_site_fract_z
K1 0.000 0.000 0.000
U1 0.000 0.000 0.500
Ag1 0.333 0.667 0.223
Ag2 0.667 0.333 0.777
F1 0.169 0.339 0.646
F2 0.169 0.831 0.646
F3 0.333 0.667 0.987
F4 0.339 0.169 0.354
F5 0.661 0.831 0.646
F6 0.667 0.333 0.013
F7 0.831 0.169 0.354
F8 0.831 0.661 0.354
# - Total energy: -5.14 eV/atom
# - M_tot: 1.0 μB/cell
# - Energy relative to the elements, uncorrected: -2380 meV per atom
# - Space-group type: P-3m1


Q: Among the records above, which one has the highest total energy?
A: LiTlSi